Entry 1:
## Ho4ErSc3 (GGA-PBE)

Data for a relaxed structure of Ho4ErSc3.

Summary:
Excess energy over the best structure of this formula in the dataset in meV/atom: 0
SG: C2/m, No. 12
Calculated formation energy in eV/atom: 0.05

POSCAR file:
```
Ho4ErSc3
1.0
5.600 -2.124 -3.261
-2.039 6.480 -0.672
-1.196 2.116 7.240
Sc Ho Er
3 4 1
Direct
0.500 0.500 0.000
0.753 0.253 0.500
0.247 0.747 0.500
0.000 0.500 0.000
0.500 0.000 0.000
0.253 0.252 0.505
0.747 0.748 0.495
0.000 0.000 0.000
```

Entry 2:
## Na2PaAlSe5 (GGA-PBE)

Data for a relaxed structure of Na2PaAlSe5.

Summary:
SG: Cmc2_1, No. 36
Energy relative to the elements, uncorrected in kJ per mole of atoms: -110.6

POSCAR file:
```
Na2PaAlSe5
1.0
-3.866 1.456 0.023
-0.268 -6.675 6.485
3.604 9.414 9.837
Na Pa Al Se
4 2 2 10
Direct
0.915 0.830 0.860
0.087 0.173 0.660
0.085 0.170 0.360
0.913 0.827 0.160
0.772 0.543 0.531
0.228 0.457 0.031
0.582 0.163 0.915
0.418 0.837 0.415
0.373 0.745 0.010
0.716 0.432 0.890
0.513 0.025 0.778
0.279 0.559 0.660
0.932 0.864 0.518
0.627 0.255 0.510
0.284 0.568 0.390
0.487 0.975 0.278
0.721 0.441 0.160
0.068 0.136 0.018
```

Entry 3:
## YCd2Ni9 (GGA-PBE)

Data for a relaxed structure of YCd2Ni9.

Summary:
Excess energy over the best structure of this formula in the dataset in meV/atom: 0
SG: R-3m, No. 166
Calculated formation energy in eV/atom: -0.16

POSCAR file:
```
YCd2Ni9
1.0
-0.176 4.049 2.757
-3.693 0.657 3.156
2.882 -2.092 7.614
Y Cd Ni
1 2 9
Direct
0.000 0.000 0.000
0.857 0.857 0.429
0.143 0.143 0.571
0.666 0.666 0.001
0.334 0.334 0.999
0.500 0.500 0.500
0.416 0.416 0.249
0.918 0.416 0.249
0.416 0.918 0.249
0.584 0.584 0.751
0.584 0.082 0.751
0.082 0.584 0.751
```

Entry 4:
## Zn4Ga5 (GGA-PBE)

Data for a relaxed structure of Zn4Ga5.

Summary:
Excess energy over the best structure of this formula in the dataset in meV/atom: 44
SG: I4/mmm, No. 139
Calculated formation energy in eV/atom: 0.17

POSCAR file:
```
Zn4Ga5
1.0
2.615 0.000 0.688
1.308 8.934 0.344
-0.965 0.000 8.984
Zn Ga
4 5
Direct
0.783 0.217 0.217
0.217 0.783 0.783
0.000 0.783 0.217
0.000 0.217 0.783
0.000 0.000 0.000
0.682 0.000 0.636
0.318 0.000 0.364
0.318 0.364 0.000
0.682 0.636 0.000
```

Entry 5:
## NbZnFeNi (GGA-PBE)

Data for a relaxed structure of NbZnFeNi.

Summary:
SG: F-43m, No. 216
Calculated formation energy in eV/atom: -0.09

POSCAR file:
```
NbZnFeNi
1.0
4.219 0.000 0.000
2.110 3.654 0.000
2.110 1.218 3.445
Ni Nb Zn Fe
1 1 1 1
Direct
0.750 0.750 0.750
0.000 0.000 0.000
0.500 0.500 0.500
0.250 0.250 0.250
```

Entry 6:
## BiMo2I (GGA-PBE)

Data for a relaxed structure of BiMo2I.

Summary:
Excess energy over the best structure of this formula in the dataset in meV/atom: 0
SG: Fm-3m, No. 225
Energy relative to the elements, uncorrected in kJ per mole of atoms: 91.0

POSCAR file:
```
BiMo2I
1.0
2.048 -4.160 1.314
-2.263 -4.171 -0.840
1.685 -3.022 -3.355
I Mo Bi
1 2 1
Direct
0.000 0.000 0.000
0.250 0.250 0.250
0.750 0.750 0.750
0.500 0.500 0.500
```

Entry 7:
## SmZnGeH (GGA-PBE)

Data for a relaxed structure of SmZnGeH.

Summary:
E in eV/atom: -4.076
SG: P4/nmm, No. 129

POSCAR file:
```
SmZnGeH
1.0
-3.691 -0.833 -1.612
0.225 -3.837 1.465
-3.317 2.260 6.427
Sm Zn Ge H
2 2 2 2
Direct
0.500 0.000 0.657
0.000 0.500 0.343
0.500 0.500 0.000
0.000 0.000 0.000
0.000 0.500 0.788
0.500 0.000 0.212
0.000 0.000 0.500
0.500 0.500 0.500
```

Entry 8:
## Ac6La5Er2 (GGA-PBE)

Data for a relaxed structure of Ac6La5Er2.

Summary:
SG: Pbam, No. 55
Calculated formation energy in eV/atom: 0.13

POSCAR file:
```
Ac6La5Er2
1.0
3.775 0.000 0.000
0.000 11.467 0.000
0.000 0.000 24.203
Ac La Er
12 10 4
Direct
0.000 0.146 0.384
0.000 0.854 0.616
0.000 0.646 0.116
0.000 0.354 0.884
0.500 0.334 0.135
0.500 0.666 0.865
0.500 0.834 0.365
0.500 0.166 0.635
0.000 0.520 0.387
0.000 0.480 0.613
0.000 0.020 0.113
0.000 0.980 0.887
0.500 0.335 0.497
0.500 0.665 0.503
0.500 0.835 0.003
0.500 0.165 0.997
0.500 0.584 0.252
0.500 0.416 0.748
0.500 0.084 0.248
0.500 0.916 0.752
0.500 0.500 0.000
0.500 0.000 0.500
0.000 0.334 0.267
0.000 0.666 0.733
0.000 0.834 0.233
0.000 0.166 0.767
```

Entry 9:
## Ba6Bi2I3Cl (GGA-PBE)

Data for a relaxed structure of Ba6Bi2I3Cl.

Summary:
SG: C2/m, No. 12
Energy relative to the elements, uncorrected in kJ per mole of atoms: -132.9

POSCAR file:
```
Ba6Bi2I3Cl
1.0
-2.218 -2.038 4.077
8.854 -0.494 4.570
-2.925 10.854 0.682
Ba Bi I Cl
6 2 3 1
Direct
0.342 0.911 0.685
0.672 0.569 0.345
0.658 0.089 0.315
0.002 0.236 0.004
0.998 0.764 0.996
0.328 0.431 0.655
0.838 0.677 0.677
0.162 0.323 0.323
0.500 0.500 0.000
0.830 0.166 0.661
0.170 0.834 0.339
0.500 0.000 0.000
```

Entry 10:
## YSc2Mo (GGA-PBE)

Data for a relaxed structure of YSc2Mo.

Summary:
Excess energy over the best structure of this formula in the dataset in meV/atom: 209
SG: R3m, No. 160
Calculated formation energy in eV/atom: 0.35

POSCAR file:
```
YSc2Mo
1.0
10.315 -0.011 -0.006
9.802 3.214 -0.006
9.802 1.561 2.810
Mo Sc Y
1 2 1
Direct
0.746 0.746 0.746
0.010 0.010 0.010
0.253 0.253 0.253
0.490 0.490 0.490
```

Entry 11:
## TmBiSb (GGA-PBE)

Data for a relaxed structure of TmBiSb.

Summary:
Excess energy over the best structure of this formula in the dataset in meV/atom: 25
SG: Immm, No. 71
Energy relative to the elements, uncorrected in kJ per mole of atoms: -19.7

POSCAR file:
```
TmBiSb
1.0
-4.737 -3.038 -1.408
1.415 -0.839 -2.947
5.294 -5.516 6.044
Bi Sb Tm
2 2 2
Direct
0.668 0.168 0.336
0.332 0.832 0.664
0.751 0.500 0.000
0.249 0.500 0.000
0.155 0.655 0.310
0.845 0.345 0.690
```

Entry 12:
## Zr2NiMo (GGA-PBE)

Data for a relaxed structure of Zr2NiMo.

Summary:
SG: F-43m, No. 216
Calculated formation energy in eV/atom: 0.13

POSCAR file:
```
Zr2NiMo
1.0
-2.183 3.384 -2.261
-4.501 0.736 0.730
-1.384 3.776 2.270
Mo Ni Zr
1 1 2
Direct
0.500 0.500 0.500
0.250 0.250 0.250
0.000 0.000 0.000
0.750 0.750 0.750
```

Entry 13:
## PrHoGe2Pd2 (GGA-PBE)

Data for a relaxed structure of PrHoGe2Pd2.

Summary:
SG: P-3m1, No. 164
Calculated formation energy in eV/atom: -0.93

POSCAR file:
```
PrHoGe2Pd2
1.0
4.457 0.000 0.000
-2.229 3.860 0.000
0.000 0.000 7.292
Pr Ho Ge Pd
1 1 2 2
Direct
0.000 0.000 0.000
0.000 0.000 0.500
0.333 0.667 0.268
0.667 0.333 0.732
0.333 0.667 0.706
0.667 0.333 0.294
```

Entry 14:
## Ho2NpFe2 (GGA-PBE)

Data for a relaxed structure of Ho2NpFe2.

Summary:
SG: C2/c, No. 15
Calculated formation energy in eV/atom: -0.06

POSCAR file:
```
Ho2NpFe2
1.0
-4.937 -2.151 -1.561
-1.695 -4.782 2.386
-4.209 2.892 5.387
Ho Np Fe
4 2 4
Direct
0.461 0.235 0.151
0.765 0.539 0.349
0.539 0.765 0.849
0.235 0.461 0.651
0.112 0.888 0.250
0.888 0.112 0.750
0.767 0.997 0.513
0.003 0.233 0.987
0.233 0.003 0.487
0.997 0.767 0.013
```

Entry 15:
## Ac3Sn5Rh6 (GGA-PBE)

Data for a relaxed structure of Ac3Sn5Rh6.

Summary:
SG: Pmmn, No. 59
Calculated formation energy in eV/atom: -0.68

POSCAR file:
```
Ac3Sn5Rh6
1.0
4.453 0.000 0.000
0.000 10.736 0.000
0.000 0.000 13.570
Ac Sn Rh
6 10 12
Direct
0.000 0.261 0.662
0.500 0.739 0.162
0.500 0.739 0.838
0.000 0.239 0.000
0.500 0.761 0.500
0.000 0.261 0.338
0.000 0.503 0.877
0.000 0.859 0.673
0.000 0.879 0.000
0.500 0.497 0.623
0.500 0.121 0.500
0.000 0.503 0.123
0.500 0.497 0.377
0.000 0.859 0.327
0.500 0.141 0.827
0.500 0.141 0.173
0.000 0.007 0.831
0.500 0.993 0.669
0.500 0.392 0.799
0.500 0.484 0.000
0.000 0.516 0.500
0.000 0.608 0.701
0.000 0.608 0.299
0.500 0.015 0.000
0.000 0.007 0.169
0.500 0.392 0.201
0.000 0.985 0.500
0.500 0.993 0.331
```

Entry 16:
## TiP2Pd (GGA-PBE)

Data for a relaxed structure of TiP2Pd.

Summary:
Excess energy over the best structure of this formula in the dataset in meV/atom: 114
SG: R-3m, No. 166
Calculated formation energy in eV/atom: -0.44

POSCAR file:
```
TiP2Pd
1.0
-2.312 2.837 -0.481
-3.138 -0.476 -1.884
-4.357 -0.510 3.770
P Pd Ti
2 1 1
Direct
0.249 0.249 0.252
0.751 0.751 0.748
0.000 0.000 0.000
0.500 0.500 0.500
```

Entry 17:
## PrGa6Ag2 (GGA-PBE)

Data for a relaxed structure of PrGa6Ag2.

Summary:
Excess energy over the best structure of this formula in the dataset in meV/atom: 0
SG: Immm, No. 71
Calculated formation energy in eV/atom: -0.15

POSCAR file:
```
PrGa6Ag2
1.0
-4.134 0.647 0.426
-1.059 -7.160 0.596
3.278 3.657 5.502
Pr Ga Ag
1 6 2
Direct
0.000 0.500 0.000
0.695 0.883 0.390
0.305 0.117 0.610
0.305 0.493 0.610
0.500 0.176 0.000
0.500 0.824 0.000
0.695 0.507 0.390
0.885 0.885 0.771
0.115 0.115 0.229
```

Entry 18:
## MgGa2Ni3 (GGA-PBE)

Data for a relaxed structure of MgGa2Ni3.

Summary:
Excess energy over the best structure of this formula in the dataset in meV/atom: 0
SG: P6_3/mmc, No. 194
Calculated formation energy in eV/atom: -0.38

POSCAR file:
```
MgGa2Ni3
1.0
4.100 0.000 0.000
-2.050 3.550 0.000
0.000 0.000 10.987
Mg Ga Ni
2 4 6
Direct
0.000 0.000 0.250
0.000 0.000 0.750
0.667 0.333 0.407
0.333 0.667 0.593
0.333 0.667 0.907
0.667 0.333 0.093
0.000 0.000 0.500
0.000 0.000 0.000
0.667 0.333 0.631
0.333 0.667 0.131
0.667 0.333 0.869
0.333 0.667 0.369
```

Entry 19:
## Tm2Mn2GaCo5 (GGA-PBE)

Data for a relaxed structure of Tm2Mn2GaCo5.

Summary:
SG: P4/mbm, No. 127
Calculated formation energy in eV/atom: -0.04

POSCAR file:
```
Tm2Mn2GaCo5
1.0
-0.383 -3.405 -0.411
8.626 -0.606 -3.018
2.906 -1.362 8.578
Tm Mn Ga Co
4 4 2 10
Direct
0.000 0.679 0.179
0.000 0.321 0.821
0.000 0.179 0.321
0.000 0.821 0.679
0.000 0.120 0.620
0.000 0.880 0.380
0.000 0.620 0.880
0.000 0.380 0.120
0.000 0.000 0.000
0.000 0.500 0.500
0.500 0.201 0.058
0.500 0.799 0.942
0.500 0.058 0.799
0.500 0.701 0.442
0.500 0.942 0.201
0.500 0.299 0.558
0.500 0.558 0.701
0.500 0.442 0.299
0.500 0.500 0.000
0.500 0.000 0.500
```

Entry 20:
## DyTmSb2 (GGA-PBE)

Data for a relaxed structure of DyTmSb2.

Summary:
Excess energy over the best structure of this formula in the dataset in meV/atom: 106
SG: R3m, No. 160
Energy relative to the elements, uncorrected in kJ per mole of atoms: -95.8

POSCAR file:
```
DyTmSb2
1.0
-4.106 1.211 -0.643
-3.157 -1.669 2.446
-1.563 5.334 5.453
Dy Tm Sb
1 1 2
Direct
0.498 0.498 0.505
0.669 0.669 0.994
0.081 0.081 0.758
0.252 0.252 0.243
```

Entry 21:
## Ti12Ga6Rh (GGA-PBE)

Data for a relaxed structure of Ti12Ga6Rh.

Summary:
SG: R-3, No. 148
Calculated formation energy in eV/atom: -0.31

POSCAR file:
```
Ti12Ga6Rh
1.0
6.712 0.505 0.606
-0.518 6.711 0.606
-0.518 -0.603 6.711
Ti Ga Rh
12 6 1
Direct
0.806 0.521 0.440
0.440 0.806 0.521
0.521 0.440 0.806
0.194 0.479 0.560
0.560 0.194 0.479
0.479 0.560 0.194
0.053 0.144 0.379
0.856 0.621 0.947
0.621 0.947 0.856
0.947 0.856 0.621
0.144 0.379 0.053
0.379 0.053 0.144
0.732 0.880 0.259
0.741 0.268 0.120
0.120 0.741 0.268
0.268 0.120 0.741
0.259 0.732 0.880
0.880 0.259 0.732
0.000 0.000 0.000
```

Entry 22:
## TcTeN2Cl (GGA-PBE)

Data for a relaxed structure of TcTeN2Cl.

Summary:
Excess energy over the best structure of this formula in the dataset in meV/atom: 1900
SG: P4/mmm, No. 123
Energy relative to the elements, uncorrected in kJ per mole of atoms: 238.5

POSCAR file:
```
TcTeN2Cl
1.0
-2.229 -0.978 -3.204
-2.945 -1.262 2.434
-2.020 4.674 -0.020
N Te Tc Cl
2 1 1 1
Direct
0.000 0.500 0.000
0.500 0.000 0.000
0.000 0.000 0.500
0.500 0.500 0.500
0.000 0.000 0.000
```

Values for M_tot, μB/atom, ordered as above
0.00; 0.00; 0.28; 0.00; 0.21; 0.00; 0.00; 0.00; 0.00; 0.27; 0.00; 0.01; 0.00; 0.33; 0.00; 0.00; 0.00; 0.00; 0.96; 0.00; 0.00; 0.48